A relaxed EuY2Ni crystal, computed with PBE.

- ΔE to the lowest computed polymorph (eV per atom) = 0.616
- ΔH_f (0 K) (eV per atom) = 0.48

Lattice parameters (Å, degrees): 11.3149 11.3149 11.3149 17.64 17.64 17.64
Fractional coordinates of all 4 atoms:
Eu: 0.0000 0.0000 0.0000
Y: 0.4250 0.4250 0.4250
Y: 0.5750 0.5750 0.5750
Ni: 0.5000 0.5000 0.5000